No. 1
A plane-wave DFT calculation with GGA-PBEsol was carried out for a relaxed structure of TlB3O.

Results
energy relative to the elements, uncorrected = 1.75 eV per atom
calculated volume = 54.6 Å³/cell
space-group type = Pm-3m (221)
uncorrected energy = -4.035 eV per atom

Structure (POSCAR):
```
TlB3O
1.0
3.794 0.000 0.000
0.000 3.794 0.000
0.000 0.000 3.794
Tl B O
1 3 1
Direct
0.500 0.500 0.500
0.000 0.500 0.000
0.000 0.000 0.500
0.500 0.000 0.000
0.000 0.000 0.000
```

No. 2
A plane-wave DFT calculation with GGA-PBEsol was carried out for a relaxed structure of Tl4B8O17.

Results
energy relative to the elements, uncorrected = -1.83 eV per atom
calculated volume = 805.9 Å³/cell
space-group type = P-1 (2)
uncorrected energy = -7.208 eV per atom

Structure (POSCAR):
```
Tl4B8O17
1.0
-2.379 -4.706 -4.550
8.937 -2.680 -1.695
-0.529 -8.877 8.402
Tl B O
8 16 34
Direct
0.435 0.337 0.161
0.565 0.663 0.839
0.956 0.061 0.123
0.044 0.939 0.877
0.349 0.671 0.328
0.651 0.329 0.672
0.873 0.846 0.401
0.127 0.154 0.599
0.586 0.847 0.176
0.414 0.153 0.824
0.292 0.987 0.249
0.708 0.013 0.751
0.616 0.086 0.278
0.384 0.914 0.722
0.667 0.194 0.452
0.333 0.806 0.548
0.756 0.339 0.287
0.244 0.661 0.713
0.043 0.481 0.273
0.957 0.519 0.727
0.763 0.604 0.198
0.237 0.396 0.802
0.791 0.757 0.027
0.209 0.243 0.973
0.624 0.835 0.064
0.376 0.165 0.936
0.377 0.866 0.208
0.623 0.134 0.792
0.697 0.967 0.221
0.303 0.033 0.779
0.097 0.992 0.266
0.903 0.008 0.734
0.409 0.100 0.271
0.591 0.900 0.729
0.669 0.074 0.392
0.331 0.926 0.608
0.704 0.216 0.222
0.296 0.784 0.778
0.658 0.170 0.564
0.342 0.830 0.436
0.674 0.325 0.401
0.326 0.675 0.599
0.961 0.351 0.284
0.039 0.649 0.716
0.661 0.461 0.230
0.339 0.539 0.770
0.245 0.483 0.279
0.755 0.517 0.721
0.944 0.602 0.260
0.056 0.398 0.740
0.800 0.622 0.085
0.200 0.378 0.915
0.637 0.715 0.244
0.363 0.285 0.756
0.797 0.743 0.906
0.203 0.257 0.094
0.977 0.846 0.034
0.023 0.154 0.966
```

no.,total moment (μB/f.u.)
1,0.0
2,0.0